Record 1
DFT (PBE) results for a relaxed BaZr3Bi crystal.

abc: 5.5974 5.5974 5.5974
angles: 90.00 90.00 90.00
Sites, in units of the cell vectors:
1 Ba 0.5000 0.5000 0.5000
2 Bi 0.0000 0.0000 0.0000
3 Zr 0.0000 0.5000 0.0000
4 Zr 0.5000 0.0000 0.0000
5 Zr 0.0000 0.0000 0.5000

Summary:
**E**: -5.508 eV/atom
**DOS at the Fermi energy**: 6.287 states/eV/f.u.
**M_tot**: 0.00 μB per formula unit
**ΔE_f**: 0.782 eV per atom
**Space-group type**: Pm-3m, No. 221

---

Record 2
DFT (PBE) results for a relaxed BaZrBi2 crystal.

abc: 4.4735 4.4735 8.4607
angles: 74.67 74.67 60.00
Sites, in units of the cell vectors:
1 Ba 0.5000 0.5000 0.5000
2 Zr 0.0000 0.0000 0.0000
3 Bi 0.2654 0.2654 0.2038
4 Bi 0.7346 0.7346 0.7962

Summary:
**E**: -5.125 eV/atom
**DOS at the Fermi energy**: 1.030 states/eV/f.u.
**M_tot**: 0.00 μB per formula unit
**ΔE_f**: -0.567 eV per atom
**Space-group type**: R-3m, No. 166

---

Record 3
DFT (PBE) results for a relaxed Ba2Br3 crystal.

abc: 8.0494 8.0494 9.2909
angles: 64.33 64.33 60.00
Sites, in units of the cell vectors:
1 Br 0.2500 0.5502 0.2500
2 Br 0.7500 0.4498 0.7500
3 Br 0.5502 0.9498 0.2500
4 Br 0.9498 0.2500 0.2500
5 Br 0.4498 0.0502 0.7500
6 Br 0.0502 0.7500 0.7500
7 Ba 0.3436 0.3436 0.9691
8 Ba 0.8436 0.8436 0.4691
9 Ba 0.1564 0.1564 0.5309
10 Ba 0.6564 0.6564 0.0309

Summary:
**E**: -3.610 eV/atom
**DOS at the Fermi energy**: 4.107 states/eV/f.u.
**M_tot**: 0.25 μB per formula unit
**Space-group type**: R-3c, No. 167
**E_form (uncorrected)**: -1.84 eV per atom

---

- What is the DOS at the Fermi energy in the third record?
  4.107 states/eV/f.u.